Density functional theory data (PBE-GGA) for a relaxed structure of Sr2ZnCd6Ga.

calculated total energy: -1.394 eV per atom

Cell: 10.331 10.477 7.331 Å, 90.00 134.42 90.00°
Space group C2/m (No. 12)
Symmetry-distinct sites (fractional):
Sr 0.000 0.201 0.000 [4 per cell]
Zn 0.000 0.500 0.500 [2 per cell]
Cd 0.000 0.253 0.500 [4 per cell]
Cd 0.192 0.500 0.387 [4 per cell]
Cd 0.210 0.500 0.996 [4 per cell]
Ga 0.000 0.000 0.500 [2 per cell]

Density functional theory data (PBE-GGA) for a relaxed structure of Ho2U3S8.

ΔE_f (raw): -1.567 eV per atom
calculated total energy: -7.416 eV per atom

Cell: 13.967 7.801 6.567 Å, 90.00 109.22 90.00°
Space group C2/m (No. 12)
Symmetry-distinct sites (fractional):
Ho 0.240 0.000 0.162 [4 per cell]
U 0.000 0.241 0.500 [4 per cell]
U 0.000 0.500 0.000 [2 per cell]
S 0.115 0.000 0.402 [4 per cell]
S 0.118 0.500 0.427 [4 per cell]
S 0.127 0.264 0.916 [8 per cell]

Density functional theory data (PBE-GGA) for a relaxed structure of Sm2AgTe3.

ΔE_f (raw): -0.950 eV per atom
calculated total energy: -4.569 eV per atom

Cell: 4.053 5.152 17.629 Å, 90.00 90.00 90.00°
Space group Immm (No. 71)
Symmetry-distinct sites (fractional):
Sm 0.000 0.000 0.141 [4 per cell]
Ag 0.000 0.000 0.500 [2 per cell]
Te 0.000 0.000 0.322 [4 per cell]
Te 0.000 0.500 0.500 [2 per cell]

Question: Number 2 is which compound?
Answer: Ho2U3S8

Question: calculated total energy of number 1 (Sr2ZnCd6Ga)?
Answer: -1.394 eV per atom

Question: calculated total energy of number 3 (Sm2AgTe3)?
Answer: -4.569 eV per atom